VASP calculation (SCAN) on a crystal of CaAsS2Cl relaxed with PBEsol.

Computed properties:
N(E_F) = 2.5 states/eV/f.u.
E_form (uncorrected) = -0.06 eV per atom
Total energy = -11.48 eV per atom
Symmetry = No. 123
Total magnetic moment = 0.00 μB per formula unit

Structure (POSCAR):
```
CaAsS2Cl
1.0
5.2414 0.0000 0.0000
0.0000 5.2414 0.0000
0.0000 0.0000 4.9038
Ca As S Cl
1 1 2 1
Direct
0.0000 0.0000 0.0000
0.5000 0.5000 0.5000
0.0000 0.5000 0.0000
0.5000 0.0000 0.0000
0.0000 0.0000 0.5000
```

=====

VASP calculation (SCAN) on a crystal of HfTlBiPt2 relaxed with PBEsol.

Computed properties:
N(E_F) = 3.1 states/eV/f.u.
Total energy = -70.38 eV per atom
Symmetry = No. 123
Total magnetic moment = 0.00 μB per formula unit
Energy of formation = 417.6 meV per atom

Structure (POSCAR):
```
HfTlBiPt2
1.0
4.9510 0.0000 0.0000
0.0000 4.9510 0.0000
0.0000 0.0000 5.5788
Hf Tl Bi Pt
1 1 1 2
Direct
0.0000 0.0000 0.0000
0.5000 0.5000 0.5000
0.0000 0.0000 0.5000
0.0000 0.5000 0.0000
0.5000 0.0000 0.0000
```

=====

VASP calculation (SCAN) on a crystal of Sr2GdSbO6 relaxed with PBEsol.

Computed properties:
N(E_F) = 0.0 states/eV/f.u.
E_form (uncorrected) = -2.85 eV per atom
Total energy = -20.65 eV per atom
Symmetry = No. 225
Total magnetic moment = 6.97 μB per formula unit

Structure (POSCAR):
```
Sr2GdSbO6
1.0
0.0000 4.1804 4.1804
4.1804 0.0000 4.1804
4.1804 4.1804 0.0000
Sr Gd Sb O
2 1 1 6
Direct
0.2500 0.2500 0.2500
0.7500 0.7500 0.7500
0.0000 0.0000 0.0000
0.5000 0.5000 0.5000
0.2636 0.2636 0.7364
0.2636 0.7364 0.2636
0.2636 0.7364 0.7364
0.7364 0.2636 0.2636
0.7364 0.2636 0.7364
0.7364 0.7364 0.2636
```

=====

What did the second record say?
VASP calculation (SCAN) on a crystal of HfTlBiPt2 relaxed with PBEsol.

Computed properties:
N(E_F) = 3.1 states/eV/f.u.
Total energy = -70.38 eV per atom
Symmetry = No. 123
Total magnetic moment = 0.00 μB per formula unit
Energy of formation = 417.6 meV per atom

Structure (POSCAR):
```
HfTlBiPt2
1.0
4.9510 0.0000 0.0000
0.0000 4.9510 0.0000
0.0000 0.0000 5.5788
Hf Tl Bi Pt
1 1 1 2
Direct
0.0000 0.0000 0.0000
0.5000 0.5000 0.5000
0.0000 0.0000 0.5000
0.0000 0.5000 0.0000
0.5000 0.0000 0.0000
```

=====

> What is the total energy in the first record?

-11.48 eV per atom